(1)
A plane-wave DFT calculation with PBE-GGA was carried out for crystalline TiReSN2 at its relaxed geometry.

The structure in CIF format:
```
data_TiReSN2
_cell_length_a 3.815
_cell_length_b 3.815
_cell_length_c 5.044
_cell_angle_alpha 90.00
_cell_angle_beta 90.00
_cell_angle_gamma 90.00
_space_group_name_H-M_alt 'P 4/m m m'
_space_group_IT_number 123
_space_group_name_Hall '-P 4 2'
loop_
_atom_site_label
_atom_site_type_symbol
_atom_site_fract_x
_atom_site_fract_y
_atom_site_fract_z
Ti1 Ti 0.000 0.000 0.000
Re1 Re 0.500 0.500 0.500
S1 S 0.500 0.500 0.000
N1 N 0.000 0.500 0.500
```

Summary:
Magnetic moment: 1.3 μB/f.u.
E_form (uncorrected): 230 meV/atom

***

(2)
A plane-wave DFT calculation with PBE-GGA was carried out for crystalline ScNbCl2 at its relaxed geometry.

The structure in CIF format:
```
data_ScNbCl2
_cell_length_a 3.1614
_cell_length_b 3.1614
_cell_length_c 26.3282
_cell_angle_alpha 90.00
_cell_angle_beta 90.00
_cell_angle_gamma 120.00
_space_group_name_H-M_alt 'R -3 m'
_space_group_IT_number 166
_space_group_name_Hall '-R 3 2"'
loop_
_atom_site_label
_atom_site_type_symbol
_atom_site_fract_x
_atom_site_fract_y
_atom_site_fract_z
Sc1 Sc 0.0000 0.0000 0.0000
Nb1 Nb 0.0000 0.0000 0.5000
Cl1 Cl 0.0000 0.0000 0.4031
```

Summary:
Magnetic moment: 0.0 μB/f.u.
E_form (uncorrected): -712 meV/atom

***

(3)
A plane-wave DFT calculation with PBE-GGA was carried out for crystalline PmDy14Tm at its relaxed geometry.

The structure in CIF format:
```
data_PmDy14Tm
_cell_length_a 11.450
_cell_length_b 7.120
_cell_length_c 12.331
_cell_angle_alpha 90.00
_cell_angle_beta 90.00
_cell_angle_gamma 90.00
_space_group_name_H-M_alt 'A m m 2'
_space_group_IT_number 38
_space_group_name_Hall 'A 2 -2'
loop_
_atom_site_label
_atom_site_type_symbol
_atom_site_fract_x
_atom_site_fract_y
_atom_site_fract_z
Pm1 Pm 0.000 0.000 0.000
Dy1 Dy 0.000 0.250 0.250
Dy2 Dy 0.249 0.000 0.666
Dy3 Dy 0.251 0.000 0.167
Dy4 Dy 0.251 0.250 0.417
Dy5 Dy 0.500 0.000 0.333
Dy6 Dy 0.500 0.000 0.833
Dy7 Dy 0.500 0.250 0.083
Tm1 Tm 0.000 0.000 0.500
```

Summary:
Magnetic moment: 0.0 μB/f.u.
Energy of formation from the pure elements: 0.0025 eV per atom